# 1
The following is a DFT calculation (PBE) of a geometry-optimized Ag2Sn structure.

a = 5.5738 Å, b = 5.5738 Å, c = 5.5738 Å
α = 60.00°, β = 60.00°, γ = 60.00°
Fractional positions:
Sn1 0.2500 0.2500 0.2500
Sn2 0.0000 0.0000 0.0000
Ag1 0.6250 0.1250 0.6250
Ag2 0.6250 0.6250 0.6250
Ag3 0.6250 0.6250 0.1250
Ag4 0.1250 0.6250 0.6250



# 2
The following is a DFT calculation (PBE) of a geometry-optimized Dy2HoMg3CdGa2 structure.

a = 4.4602 Å, b = 7.3544 Å, c = 7.3544 Å
α = 119.90°, β = 90.00°, γ = 90.00°
Fractional positions:
Mg1 0.5000 0.9998 0.7505
Mg2 0.5000 0.2496 0.2496
Mg3 0.5000 0.7505 0.9998
Dy1 0.0000 0.4316 0.0001
Dy2 0.0000 0.0001 0.4316
Ga1 0.5000 0.6665 0.3338
Ga2 0.5000 0.3338 0.6665
Cd1 0.0000 0.9993 0.9993
Ho1 0.0000 0.5687 0.5687



no.,VASP energy (eV/cell)
1,-19.1
2,-29.3